# 1
Material: ZrFePRu2
Method: DFT, meta-GGA SCAN
State: PBEsol geometry

Cell lengths 4.2847, 4.2847, 4.6652 Å; angles 90.00, 90.00, 90.00 degrees
Last column: nearest neighbours and their distance in Å.
Fractional coordinates of all 5 atoms:
Zr 0.0000 0.0000 0.0000  2 Fe 2.33
Fe 0.0000 0.0000 0.5000  4 Ru 2.14, 2 Zr 2.33
P 0.5000 0.5000 0.0000  4 Zr 3.03, 8 Ru 3.17
Ru 0.0000 0.5000 0.5000  2 Fe 2.14
Ru 0.5000 0.0000 0.5000  2 Fe 2.14

Output
As for the density of states at the Fermi level: 5.338 states/eV per cell. The formation energy is 0.8889 eV/atom. As for the total magnetization: 0.00 μB per cell. For the total energy, the calculation gives -124.435 eV/cell.

# 2
Material: InRe2PRh
Method: DFT, meta-GGA SCAN
State: PBEsol geometry

Cell lengths 4.4011, 4.4011, 4.2937 Å; angles 90.00, 90.00, 90.00 degrees
Last column: nearest neighbours and their distance in Å.
Fractional coordinates of all 5 atoms:
In 0.0000 0.0000 0.0000  8 Re 3.07, 4 Rh 3.11
Re 0.0000 0.5000 0.5000  2 P 2.20
Re 0.5000 0.0000 0.5000  2 P 2.20
P 0.5000 0.5000 0.5000  2 Rh 2.15, 4 Re 2.20
Rh 0.5000 0.5000 0.0000  2 P 2.15

Output
As for the density of states at the Fermi level: 2.976 states/eV per cell. The formation energy is 0.5652 eV/atom. As for the total magnetization: 0.00 μB per cell. For the total energy, the calculation gives -216.925 eV/cell.

# 3
Material: BePt2W
Method: DFT, meta-GGA SCAN
State: PBEsol geometry

Cell lengths 4.5949, 4.5949, 2.7067 Å; angles 90.00, 90.00, 90.00 degrees
Last column: nearest neighbours and their distance in Å.
Fractional coordinates of all 4 atoms:
Be 0.0000 0.0000 0.0000  8 Pt 2.67, 2 Be 2.71
Pt 0.0000 0.5000 0.5000  4 W 2.67, 4 Be 2.67, 2 Pt 2.71
Pt 0.5000 0.0000 0.5000  4 W 2.67, 4 Be 2.67, 2 Pt 2.71
W 0.5000 0.5000 0.0000  8 Pt 2.67, 2 W 2.71

Output
As for the density of states at the Fermi level: 1.957 states/eV per cell. The formation energy is -0.2351 eV/atom. As for the total magnetization: 0.00 μB per cell. For the total energy, the calculation gives -215.368 eV/cell.

# 4
Material: Be4CrRu
Method: DFT, meta-GGA SCAN
State: PBEsol geometry

Cell lengths 4.2256, 4.2256, 4.2256 Å; angles 60.00, 60.00, 60.00 degrees
Last column: nearest neighbours and their distance in Å.
Fractional coordinates of all 6 atoms:
Be 0.3759 0.3759 0.3759  6 Be 2.10-2.13
Be 0.3759 0.3759 0.8722  6 Be 2.10-2.13
Be 0.3759 0.8722 0.3759  6 Be 2.10-2.13
Be 0.8722 0.3759 0.3759  6 Be 2.10-2.13
Cr 0.7500 0.7500 0.7500  12 Be 2.48, 4 Ru 2.59
Ru 0.0000 0.0000 0.0000  12 Be 2.48, 4 Cr 2.59

Output
As for the density of states at the Fermi level: 2.472 states/eV per cell. The formation energy is -0.3890 eV/atom. As for the total magnetization: 2.00 μB per cell. For the total energy, the calculation gives -72.959 eV/cell.

# 5
Material: BeOsRh
Method: DFT, meta-GGA SCAN
State: PBEsol geometry

Cell lengths 3.9938, 3.9938, 2.6302 Å; angles 90.00, 90.00, 120.00 degrees
Last column: nearest neighbours and their distance in Å.
Fractional coordinates of all 3 atoms:
Be 0.0000 0.0000 0.0000  3 Rh 2.31
Os 0.3333 0.6667 0.5000  2 Os 2.63, 6 Be 2.65, 6 Rh 2.65
Rh 0.6667 0.3333 0.0000  3 Be 2.31

Output
As for the density of states at the Fermi level: 2.399 states/eV per cell. The formation energy is -0.0290 eV/atom. The value obtained for the energy relative to the lowest polymorph listed for this composition is 0.00 kJ/mol of atoms. As for the total magnetization: 0.00 μB per cell. For the total energy, the calculation gives -110.092 eV/cell.

# 6
Material: Pb2W
Method: DFT, meta-GGA SCAN
State: PBEsol geometry

Cell lengths 5.2401, 5.2401, 2.8928 Å; angles 90.00, 90.00, 120.00 degrees
Last column: nearest neighbours and their distance in Å.
Fractional coordinates of all 3 atoms:
Pb 0.3333 0.6667 0.0000  5 Pb 2.89-3.03
Pb 0.6667 0.3333 0.0000  5 Pb 2.89-3.03
W 0.0000 0.0000 0.5000  2 W 2.89

Output
As for the density of states at the Fermi level: 2.180 states/eV per cell. The formation energy is 1.4252 eV/atom. The value obtained for the energy relative to the lowest polymorph listed for this composition is 54.09 kJ/mol of atoms. As for the total magnetization: 0.84 μB per cell. For the total energy, the calculation gives -216.975 eV/cell.

# 7
Material: Cs2TmH4
Method: DFT, meta-GGA SCAN
State: PBEsol geometry

Cell lengths 8.3076, 8.3076, 8.3076 Å; angles 149.97, 149.97, 42.98 degrees
Last column: nearest neighbours and their distance in Å.
Fractional coordinates of all 7 atoms:
Cs 0.1567 0.1567 0.0000  9 H 3.06-3.24
Cs 0.8433 0.8433 0.0000  9 H 3.06-3.24
Tm 0.5000 0.5000 0.0000  6 H 2.15-2.16
H 0.0000 0.5000 0.5000  2 Tm 2.15
H 0.3605 0.3605 0.0000  1 Tm 2.16
H 0.5000 0.0000 0.5000  2 Tm 2.15
H 0.6395 0.6395 0.0000  1 Tm 2.16

Output
As for the density of states at the Fermi level: 2.352 states/eV per cell. As for the total magnetization: 0.00 μB per cell. For the total energy, the calculation gives -143.411 eV/cell.

# 8
Material: La2RuBr
Method: DFT, meta-GGA SCAN
State: PBEsol geometry

Cell lengths 4.2347, 4.2347, 5.9727 Å; angles 90.00, 90.00, 90.00 degrees
Last column: nearest neighbours and their distance in Å.
Fractional coordinates of all 4 atoms:
La 0.0000 0.0000 0.0000  1 Ru 2.35
La 0.5000 0.5000 0.4418  2 Br 2.97-3.01, 4 Ru 3.01
Ru 0.0000 0.0000 0.3933  1 La 2.35
Br 0.5000 0.5000 0.9385  6 La 2.97-3.02

Output
As for the density of states at the Fermi level: 1.781 states/eV per cell. The value obtained for the energy relative to the lowest polymorph listed for this composition is 13.69 kJ/mol of atoms. As for the total magnetization: 0.00 μB per cell. For the total energy, the calculation gives -144.127 eV/cell. The value obtained for the raw formation energy is -0.908 eV/atom.

# 9
Material: NaLaGe2Cl
Method: DFT, meta-GGA SCAN
State: PBEsol geometry

Cell lengths 5.1613, 5.1613, 4.6992 Å; angles 90.00, 90.00, 90.00 degrees
Last column: nearest neighbours and their distance in Å.
Fractional coordinates of all 5 atoms:
Na 0.0000 0.0000 0.0000  2 Cl 2.35
La 0.5000 0.5000 0.0000  8 Ge 3.49, 4 Na 3.65
Ge 0.0000 0.5000 0.5000  2 Cl 2.58
Ge 0.5000 0.0000 0.5000  2 Cl 2.58
Cl 0.0000 0.0000 0.5000  2 Na 2.35, 4 Ge 2.58

Output
As for the density of states at the Fermi level: 1.868 states/eV per cell. As for the total magnetization: 0.00 μB per cell. For the total energy, the calculation gives -94.396 eV/cell. The value obtained for the raw formation energy is -0.184 eV/atom.

# 10
Material: TeBr
Method: DFT, meta-GGA SCAN
State: PBEsol geometry

Cell lengths 5.3330, 5.3330, 5.3330 Å; angles 37.52, 37.52, 37.52 degrees
Last column: nearest neighbours and their distance in Å.
Fractional coordinates of all 2 atoms:
Te 0.0000 0.0000 0.0000  6 Br 3.17, 6 Te 3.43
Br 0.5000 0.5000 0.5000  6 Te 3.17, 6 Br 3.43

Output
As for the density of states at the Fermi level: 0.981 states/eV per cell. As for the total magnetization: 0.00 μB per cell. For the total energy, the calculation gives -56.105 eV/cell. The value obtained for the raw formation energy is 0.303 eV/atom.

# 11
Material: Re2NiPb
Method: DFT, meta-GGA SCAN
State: PBEsol geometry

Cell lengths 3.1172, 4.2975, 4.6585 Å; angles 90.00, 90.00, 90.00 degrees
Last column: nearest neighbours and their distance in Å.
Fractional coordinates of all 4 atoms:
Re 0.0000 0.0000 0.0000  4 Re 2.65, 4 Pb 2.80
Re 0.5000 0.5000 0.0000  4 Re 2.65, 4 Ni 2.80
Ni 0.0000 0.5000 0.5000  4 Pb 2.65, 4 Re 2.80
Pb 0.5000 0.0000 0.5000  4 Ni 2.65, 4 Re 2.80

Output
As for the density of states at the Fermi level: 3.386 states/eV per cell. The formation energy is 0.8677 eV/atom. As for the total magnetization: 0.00 μB per cell. For the total energy, the calculation gives -230.679 eV/cell.

# 12
Material: SiGe3Ru
Method: DFT, meta-GGA SCAN
State: PBEsol geometry

Cell lengths 4.5896, 4.5896, 4.5896 Å; angles 90.00, 90.00, 90.00 degrees
Last column: nearest neighbours and their distance in Å.
Fractional coordinates of all 5 atoms:
Si 0.0000 0.0000 0.0000  6 Ge 2.29
Ge 0.0000 0.0000 0.5000  2 Si 2.29
Ge 0.0000 0.5000 0.0000  2 Si 2.29
Ge 0.5000 0.0000 0.0000  2 Si 2.29
Ru 0.5000 0.5000 0.5000  12 Ge 3.25

Output
As for the density of states at the Fermi level: 2.679 states/eV per cell. As for the total magnetization: 1.89 μB per cell. For the total energy, the calculation gives -95.945 eV/cell. The value obtained for the raw formation energy is 1.232 eV/atom.